[1]
Ba2TlAu, single point on PBEsol structure, DFT meta-GGA SCAN; M_tot = 0.001 μB per atom; DOS at the Fermi energy = 7.5 states/eV/cell; symmetry = Amm2, No. 38; V = 35.57 Å³/atom; ΔE to the lowest computed polymorph = 56 meV/atom
1.0
5.079 0.000 0.000
0.000 4.568 0.000
0.000 0.000 12.266
Ba Tl Au
4 2 2
Direct
0.000 0.000 0.000
0.000 0.500 0.500
0.500 0.000 0.283
0.500 0.500 0.783
0.500 0.000 0.572
0.500 0.500 0.072
0.000 0.000 0.708
0.000 0.500 0.208

---

[2]
BaTl2Au, single point on PBEsol structure, DFT meta-GGA SCAN; M_tot = 0.000 μB per atom; DOS at the Fermi energy = 4.9 states/eV/cell; DFT total energy = -63.795 eV/atom; symmetry = Amm2, No. 38; V = 30.41 Å³/atom
1.0
4.374 0.000 0.000
0.000 4.223 0.000
0.000 0.000 13.171
Ba Tl Au
2 4 2
Direct
0.000 0.000 0.000
0.000 0.500 0.500
0.000 0.000 0.268
0.000 0.500 0.768
0.500 0.000 0.674
0.500 0.500 0.174
0.500 0.000 0.410
0.500 0.500 0.910

---

[3]
BaWAu3, single point on PBEsol structure, DFT meta-GGA SCAN; M_tot = 1.000 μB per atom; DOS at the Fermi energy = 4.2 states/eV/cell; DFT total energy = -61.389 eV/atom; symmetry = Pm-3m, No. 221; V = 36.47 Å³/atom
1.0
5.671 0.000 0.000
0.000 5.671 0.000
0.000 0.000 5.671
Ba W Au
1 1 3
Direct
0.000 0.000 0.000
0.500 0.500 0.500
0.000 0.000 0.500
0.000 0.500 0.000
0.500 0.000 0.000